Entry 1:
CsAcBeS3: relaxed, PBE.

a b c (Å): 9.593 4.223 9.897
angles (deg): 90.00 107.25 90.00
Sites, in units of the cell vectors:
Cs1 0.230 0.250 0.189
Cs2 0.770 0.750 0.811
Ac1 0.166 0.250 0.663
Ac2 0.834 0.750 0.337
Be1 0.395 0.750 0.933
Be2 0.605 0.250 0.067
S1 0.155 0.750 0.452
S2 0.173 0.750 0.878
S3 0.475 0.250 0.859
S4 0.525 0.750 0.141
S5 0.827 0.250 0.122
S6 0.845 0.250 0.548

Calculated values
For the density of states at the Fermi level, the calculation gives 0.00 states/eV/f.u. The uncorrected formation energy is -1.5247 eV/atom. As for the calculated total energy: -5.036 eV/atom.

***

Entry 2:
CsAcBeSe3: relaxed, PBE.

a b c (Å): 10.033 4.348 10.275
angles (deg): 90.00 107.66 90.00
Sites, in units of the cell vectors:
Cs1 0.232 0.250 0.192
Cs2 0.768 0.750 0.808
Ac1 0.162 0.250 0.665
Ac2 0.838 0.750 0.335
Be1 0.394 0.750 0.929
Be2 0.606 0.250 0.071
Se1 0.160 0.750 0.452
Se2 0.166 0.750 0.882
Se3 0.475 0.250 0.853
Se4 0.525 0.750 0.147
Se5 0.834 0.250 0.118
Se6 0.840 0.250 0.548

Calculated values
For the density of states at the Fermi level, the calculation gives 0.00 states/eV/f.u. The uncorrected formation energy is -1.4017 eV/atom. As for the calculated total energy: -4.592 eV/atom.

***

Entry 3:
CsAcBeTe3: relaxed, PBE.

a b c (Å): 9.123 9.123 10.202
angles (deg): 103.16 103.16 35.11
Sites, in units of the cell vectors:
Cs1 0.144 0.144 0.057
Cs2 0.856 0.856 0.943
Ac1 0.146 0.146 0.566
Ac2 0.854 0.854 0.434
Be1 0.494 0.494 0.707
Be2 0.506 0.506 0.293
Te1 0.005 0.005 0.290
Te2 0.344 0.344 0.647
Te3 0.361 0.361 0.234
Te4 0.639 0.639 0.766
Te5 0.656 0.656 0.353
Te6 0.995 0.995 0.710

Calculated values
The uncorrected formation energy is -0.8661 eV/atom. As for the calculated total energy: -3.885 eV/atom.

***

Entry 4:
AcBeCu3: relaxed, PBE.

a b c (Å): 4.457 4.457 4.457
angles (deg): 90.00 90.00 90.00
Sites, in units of the cell vectors:
Ac1 0.000 0.000 0.000
Be1 0.500 0.500 0.500
Cu1 0.000 0.500 0.500
Cu2 0.500 0.000 0.500
Cu3 0.500 0.500 0.000

Calculated values
The calculation puts the calculated formation energy at 20.6 meV per atom. For the density of states at the Fermi level, the calculation gives 2.48 states/eV/f.u. As for the calculated total energy: -4.004 eV/atom.

***

Entry 5:
Ac2BeGa4Cu3: relaxed, PBE.

a b c (Å): 4.354 4.354 10.278
angles (deg): 90.00 90.00 90.00
Sites, in units of the cell vectors:
Ac1 0.000 0.500 0.243
Ac2 0.500 0.000 0.757
Be1 0.500 0.500 0.000
Ga1 0.000 0.000 0.500
Ga2 0.000 0.500 0.881
Ga3 0.500 0.000 0.119
Ga4 0.500 0.500 0.500
Cu1 0.000 0.000 0.000
Cu2 0.000 0.500 0.631
Cu3 0.500 0.000 0.369

Calculated values
The calculation puts the calculated formation energy at -355.6 meV per atom. For the density of states at the Fermi level, the calculation gives 6.79 states/eV/f.u. As for the calculated total energy: -3.990 eV/atom.

***

Entry 6:
Ac2BeGaCu6: relaxed, PBE.

a b c (Å): 6.097 6.097 6.699
angles (deg): 117.18 117.18 59.93
Sites, in units of the cell vectors:
Ac1 0.216 0.216 0.148
Ac2 0.784 0.784 0.852
Be1 0.000 0.000 0.500
Ga1 0.500 0.500 0.000
Cu1 0.241 0.241 0.644
Cu2 0.241 0.664 0.645
Cu3 0.336 0.759 0.355
Cu4 0.664 0.241 0.645
Cu5 0.759 0.336 0.355
Cu6 0.759 0.759 0.356

Calculated values
The calculation puts the calculated formation energy at -163.3 meV per atom. For the density of states at the Fermi level, the calculation gives 5.19 states/eV/f.u. As for the calculated total energy: -4.118 eV/atom.

***

Entry 7:
Ac2BeCu3Ge4: relaxed, PBE.

a b c (Å): 4.334 4.334 10.196
angles (deg): 90.00 90.00 90.00
Sites, in units of the cell vectors:
Ac1 0.000 0.500 0.244
Ac2 0.500 0.000 0.756
Be1 0.500 0.500 0.000
Cu1 0.000 0.000 0.000
Cu2 0.000 0.500 0.628
Cu3 0.500 0.000 0.372
Ge1 0.000 0.000 0.500
Ge2 0.000 0.500 0.876
Ge3 0.500 0.000 0.124
Ge4 0.500 0.500 0.500

Calculated values
The calculation puts the calculated formation energy at -454.8 meV per atom. For the density of states at the Fermi level, the calculation gives 2.71 states/eV/f.u. As for the calculated total energy: -4.725 eV/atom.

***

Entry 8:
AcBe2CuH8: relaxed, PBE.

a b c (Å): 4.695 4.695 6.610
angles (deg): 90.16 90.16 59.97
Sites, in units of the cell vectors:
Ac1 0.000 0.000 0.000
Be1 0.334 0.334 0.263
Be2 0.666 0.666 0.737
Cu1 0.000 0.000 0.500
H1 0.163 0.163 0.319
H2 0.164 0.675 0.318
H3 0.325 0.836 0.682
H4 0.333 0.333 0.035
H5 0.667 0.667 0.965
H6 0.675 0.164 0.318
H7 0.836 0.325 0.682
H8 0.837 0.837 0.681

Calculated values
For the density of states at the Fermi level, the calculation gives 0.00 states/eV/f.u. As for the calculated total energy: -3.710 eV/atom.

***

Entry 9:
AcBeCuPd6: relaxed, PBE.

a b c (Å): 8.020 8.020 8.020
angles (deg): 136.31 109.02 87.20
Sites, in units of the cell vectors:
Ac1 0.417 0.167 0.250
Ac2 0.583 0.833 0.750
Be1 0.000 0.500 0.500
Be2 0.500 0.500 0.000
Cu1 0.000 0.000 0.500
Cu2 0.000 0.500 0.000
Pd1 0.114 0.378 0.232
Pd2 0.114 0.882 0.736
Pd3 0.178 0.928 0.250
Pd4 0.294 0.544 0.750
Pd5 0.354 0.118 0.732
Pd6 0.354 0.622 0.236
Pd7 0.646 0.378 0.764
Pd8 0.646 0.882 0.268
Pd9 0.706 0.456 0.250
Pd10 0.822 0.072 0.750
Pd11 0.886 0.118 0.264
Pd12 0.886 0.622 0.768

Calculated values
The calculation puts the calculated formation energy at -192.6 meV per atom. For the density of states at the Fermi level, the calculation gives 3.34 states/eV/f.u. As for the calculated total energy: -4.980 eV/atom.

***

Entry 10:
Ac2Be3CuPt4: relaxed, PBE.

a b c (Å): 4.179 4.179 10.241
angles (deg): 90.00 90.00 90.00
Sites, in units of the cell vectors:
Ac1 0.000 0.500 0.250
Ac2 0.500 0.000 0.750
Be1 0.000 0.000 0.000
Be2 0.000 0.500 0.610
Be3 0.500 0.000 0.390
Cu1 0.500 0.500 0.000
Pt1 0.000 0.000 0.500
Pt2 0.000 0.500 0.857
Pt3 0.500 0.000 0.143
Pt4 0.500 0.500 0.500

Calculated values
The calculation puts the calculated formation energy at -743.6 meV per atom. For the density of states at the Fermi level, the calculation gives 4.61 states/eV/f.u. As for the calculated total energy: -5.509 eV/atom.

***

Entry 11:
Ac2BeCu3Sn4: relaxed, PBE.

a b c (Å): 4.566 4.566 10.824
angles (deg): 90.00 90.00 90.00
Sites, in units of the cell vectors:
Ac1 0.000 0.500 0.237
Ac2 0.500 0.000 0.763
Be1 0.500 0.500 0.000
Cu1 0.000 0.000 0.000
Cu2 0.000 0.500 0.636
Cu3 0.500 0.000 0.364
Sn1 0.000 0.000 0.500
Sn2 0.000 0.500 0.878
Sn3 0.500 0.000 0.122
Sn4 0.500 0.500 0.500

Calculated values
The calculation puts the calculated formation energy at -399.8 meV per atom. For the density of states at the Fermi level, the calculation gives 2.11 states/eV/f.u. As for the calculated total energy: -4.424 eV/atom.

***

Entry 12:
Ac2DyBe2O6: relaxed, PBE.

a b c (Å): 5.393 5.393 9.146
angles (deg): 90.00 90.00 120.00
Sites, in units of the cell vectors:
Ac1 0.333 0.667 0.235
Ac2 0.667 0.333 0.765
Dy1 0.000 0.000 0.500
Be1 0.333 0.667 0.649
Be2 0.667 0.333 0.351
O1 0.067 0.705 0.654
O2 0.295 0.362 0.654
O3 0.362 0.067 0.346
O4 0.638 0.933 0.654
O5 0.705 0.638 0.346
O6 0.933 0.295 0.346

Calculated values
For the density of states at the Fermi level, the calculation gives 1.27 states/eV/f.u. The uncorrected formation energy is -2.8755 eV/atom. As for the calculated total energy: -7.423 eV/atom.

***

Entry 13:
AcEr2Be: relaxed, PBE.

a b c (Å): 3.522 3.522 9.002
angles (deg): 90.00 90.00 90.00
Sites, in units of the cell vectors:
Ac1 0.000 0.000 0.000
Er1 0.500 0.500 0.321
Er2 0.500 0.500 0.679
Be1 0.000 0.000 0.500

Calculated values
The calculation puts the calculated formation energy at 116.0 meV per atom. For the density of states at the Fermi level, the calculation gives 4.08 states/eV/f.u. As for the calculated total energy: -4.124 eV/atom.

***

Entry 14:
AcEr2Be: relaxed, PBE.

a b c (Å): 11.140 11.140 11.140
angles (deg): 18.53 18.53 18.53
Sites, in units of the cell vectors:
Ac1 0.000 0.000 0.000
Er1 0.110 0.110 0.110
Er2 0.890 0.890 0.890
Be1 0.500 0.500 0.500

Calculated values
The calculation puts the calculated formation energy at 362.2 meV per atom. For the density of states at the Fermi level, the calculation gives 4.56 states/eV/f.u. As for the calculated total energy: -3.878 eV/atom.

***

Entry 15:
AcErBe2Ge2: relaxed, PBE.

a b c (Å): 3.999 3.999 8.687
angles (deg): 90.00 90.00 120.00
Sites, in units of the cell vectors:
Ac1 0.000 0.000 0.000
Er1 0.000 0.000 0.500
Be1 0.333 0.667 0.726
Be2 0.667 0.333 0.274
Ge1 0.333 0.667 0.277
Ge2 0.667 0.333 0.723

Calculated values
The calculation puts the calculated formation energy at -574.4 meV per atom. For the density of states at the Fermi level, the calculation gives 3.49 states/eV/f.u. As for the calculated total energy: -4.801 eV/atom.

***

Entry 16:
Ac2EuBe: relaxed, PBE.

a b c (Å): 12.708 12.708 12.708
angles (deg): 17.30 17.30 17.30
Sites, in units of the cell vectors:
Ac1 0.082 0.082 0.082
Ac2 0.918 0.918 0.918
Eu1 0.500 0.500 0.500
Be1 0.000 0.000 0.000

Calculated values
The calculation puts the calculated formation energy at 789.4 meV per atom. For the density of states at the Fermi level, the calculation gives 6.55 states/eV/f.u. As for the calculated total energy: -4.765 eV/atom.

***

Entry 17:
AcBeF5: relaxed, PBE.

a b c (Å): 4.997 4.997 8.646
angles (deg): 113.63 113.63 62.90
Sites, in units of the cell vectors:
Ac1 0.008 0.992 0.750
Ac2 0.992 0.008 0.250
Be1 0.500 0.500 0.000
Be2 0.500 0.500 0.500
F1 0.099 0.667 0.449
F2 0.154 0.484 0.900
F3 0.333 0.901 0.051
F4 0.484 0.154 0.400
F5 0.487 0.513 0.250
F6 0.513 0.487 0.750
F7 0.516 0.846 0.600
F8 0.667 0.099 0.949
F9 0.846 0.516 0.100
F10 0.901 0.333 0.551

Calculated values
For the density of states at the Fermi level, the calculation gives 0.00 states/eV/f.u. The uncorrected formation energy is -3.6236 eV/atom. As for the calculated total energy: -6.080 eV/atom.

***

Entry 18:
AcBeIF4: relaxed, PBE.

a b c (Å): 6.543 6.543 7.126
angles (deg): 100.22 100.22 66.72
Sites, in units of the cell vectors:
Ac1 0.241 0.241 0.327
Ac2 0.759 0.759 0.673
Be1 0.130 0.130 0.754
Be2 0.870 0.870 0.246
I1 0.459 0.459 0.744
I2 0.541 0.541 0.256
F1 0.004 0.347 0.639
F2 0.014 0.014 0.274
F3 0.193 0.193 0.972
F4 0.347 0.004 0.639
F5 0.653 0.996 0.361
F6 0.807 0.807 0.028
F7 0.986 0.986 0.726
F8 0.996 0.653 0.361

Calculated values
For the density of states at the Fermi level, the calculation gives 0.00 states/eV/f.u. The uncorrected formation energy is -3.2545 eV/atom. As for the calculated total energy: -5.665 eV/atom.

***

Entry 19:
KAcBe2F8: relaxed, PBE.

a b c (Å): 4.984 4.984 8.654
angles (deg): 91.11 91.11 67.96
Sites, in units of the cell vectors:
K1 0.000 0.000 0.000
Ac1 0.000 0.000 0.500
Be1 0.390 0.390 0.738
Be2 0.610 0.610 0.262
F1 0.264 0.730 0.723
F2 0.270 0.736 0.277
F3 0.290 0.290 0.878
F4 0.292 0.292 0.569
F5 0.708 0.708 0.431
F6 0.710 0.710 0.122
F7 0.730 0.264 0.723
F8 0.736 0.270 0.277

Calculated values
For the density of states at the Fermi level, the calculation gives 0.00 states/eV/f.u. The uncorrected formation energy is -3.4879 eV/atom. As for the calculated total energy: -5.790 eV/atom.

***

Entry 20:
Li2AcBeF8: relaxed, PBE.

a b c (Å): 4.827 4.827 6.489
angles (deg): 90.00 90.00 120.00
Sites, in units of the cell vectors:
Li1 0.333 0.667 0.000
Li2 0.667 0.333 0.000
Ac1 0.000 0.000 0.500
Be1 0.000 0.000 0.000
F1 0.000 0.294 0.157
F2 0.000 0.706 0.843
F3 0.294 0.000 0.157
F4 0.294 0.294 0.843
F5 0.333 0.667 0.500
F6 0.667 0.333 0.500
F7 0.706 0.000 0.843
F8 0.706 0.706 0.157

Calculated values
For the density of states at the Fermi level, the calculation gives 8.22 states/eV/f.u. The uncorrected formation energy is -3.0786 eV/atom. As for the calculated total energy: -5.298 eV/atom.

***

Entry 21:
LiAcBeF6: relaxed, PBE.

a b c (Å): 5.071 5.071 5.108
angles (deg): 90.00 90.00 120.00
Sites, in units of the cell vectors:
Li1 0.000 0.000 0.000
Ac1 0.667 0.333 0.500
Be1 0.333 0.667 0.000
F1 0.061 0.367 0.204
F2 0.061 0.694 0.796
F3 0.306 0.367 0.796
F4 0.306 0.939 0.204
F5 0.633 0.694 0.204
F6 0.633 0.939 0.796

Calculated values
For the density of states at the Fermi level, the calculation gives 0.00 states/eV/f.u. The uncorrected formation energy is -3.4866 eV/atom. As for the calculated total energy: -5.817 eV/atom.

***

Entry 22:
Rb2AcBeF6: relaxed, PBE.

a b c (Å): 7.334 7.334 6.650
angles (deg): 116.20 116.20 40.93
Sites, in units of the cell vectors:
Rb1 0.200 0.200 0.186
Rb2 0.800 0.800 0.814
Ac1 0.000 0.000 0.500
Be1 0.500 0.500 0.000
F1 0.197 0.197 0.728
F2 0.264 0.721 0.818
F3 0.279 0.736 0.182
F4 0.721 0.264 0.818
F5 0.736 0.279 0.182
F6 0.803 0.803 0.272

Calculated values
For the density of states at the Fermi level, the calculation gives 1.25 states/eV/f.u. The uncorrected formation energy is -2.9773 eV/atom. As for the calculated total energy: -5.077 eV/atom.